DFT (GGA-PBE) results for an optimized crystal structure of Ga3Ru.

Summary:
Magnetization, Bohr magnetons per cell: 0.00
ΔH_f (0 K), meV per atom: -386

a b c (Å): 6.532 6.532 6.775
angles (deg): 90.00 90.00 90.00
Space group P4_2/mnm (No. 136)
Inequivalent atoms, fractional coordinates:
1 Ga 0.000 0.500 0.000 x4
2 Ga 0.155 0.155 0.235 x8
3 Ru 0.159 0.841 0.000 x4


DFT (GGA-PBE) results for an optimized crystal structure of Ga4Ru3.

Summary:
Magnetization, Bohr magnetons per cell: 0.00
ΔH_f (0 K), meV per atom: -243

a b c (Å): 4.2652 4.2652 20.4092
angles (deg): 90.00 90.00 120.00
Space group R-3m (No. 166, hexagonal axes)
Inequivalent atoms, fractional coordinates:
1 Ga 0.0000 0.0000 0.1198 x6
2 Ga 0.0000 0.0000 0.3722 x6
3 Ru 0.0000 0.0000 0.2496 x6
4 Ru 0.0000 0.0000 0.5000 x3


DFT (GGA-PBE) results for an optimized crystal structure of Ga4Ru.

Summary:
Magnetization, Bohr magnetons per cell: 0.00
ΔH_f (0 K), meV per atom: -7

a b c (Å): 4.803 4.803 4.803
angles (deg): 90.00 90.00 90.00
Space group Pm-3m (No. 221)
Inequivalent atoms, fractional coordinates:
1 Ga 0.000 0.000 0.000 x1
2 Ga 0.000 0.500 0.500 x3
3 Ru 0.500 0.500 0.500 x1


What is the magnetization in the third record?
0.00 Bohr magnetons per cell


Repeat the second record exactly.
DFT (GGA-PBE) results for an optimized crystal structure of Ga4Ru3.

Summary:
Magnetization, Bohr magnetons per cell: 0.00
ΔH_f (0 K), meV per atom: -243

a b c (Å): 4.2652 4.2652 20.4092
angles (deg): 90.00 90.00 120.00
Space group R-3m (No. 166, hexagonal axes)
Inequivalent atoms, fractional coordinates:
1 Ga 0.0000 0.0000 0.1198 x6
2 Ga 0.0000 0.0000 0.3722 x6
3 Ru 0.0000 0.0000 0.2496 x6
4 Ru 0.0000 0.0000 0.5000 x3


Which of these has the lowest ΔH_f (0 K)?
Ga3Ru


Copy entry 3 word for word.
DFT (GGA-PBE) results for an optimized crystal structure of Ga4Ru.

Summary:
Magnetization, Bohr magnetons per cell: 0.00
ΔH_f (0 K), meV per atom: -7

a b c (Å): 4.803 4.803 4.803
angles (deg): 90.00 90.00 90.00
Space group Pm-3m (No. 221)
Inequivalent atoms, fractional coordinates:
1 Ga 0.000 0.000 0.000 x1
2 Ga 0.000 0.500 0.500 x3
3 Ru 0.500 0.500 0.500 x1